# 1
An optimized crystal structure of TiMn2Cd, computed with GGA-PBE.

Output
Calculated formation energy   0.721 eV per atom

```
8
Lattice="-1.015 3.419 -1.467 -3.720 -0.925 0.419 -2.323 4.725 7.554" Properties=species:S:1:pos:R:3 pbc="T T T"
Mn -1.573 2.842 1.179
Mn -3.139 1.391 1.812
Mn -3.910 4.382 5.317
Mn -5.493 5.824 4.705
Ti -2.367 1.247 -0.524
Ti -4.205 2.524 3.724
Cd 0.000 0.000 0.000
Cd -2.853 4.696 2.782
```

***

# 2
An optimized crystal structure of Ce3Y2TmP6, computed with GGA-PBE.

Output
Calculated formation energy   -1.561 eV per atom

```
12
Lattice="-4.936 -4.435 -2.239 6.740 -1.898 -0.144 -1.161 -0.336 6.877" Properties=species:S:1:pos:R:3 pbc="T T T"
Ce 4.207 -2.490 2.944
Ce -3.565 -4.179 1.550
Ce 0.321 -3.334 2.247
Y 2.845 -2.744 -0.843
Y -1.042 -3.589 -1.540
Tm 0.000 0.000 0.000
P -1.450 -5.440 3.046
P 1.069 -4.841 -0.096
P 2.092 -1.229 1.448
P 2.413 -4.600 3.739
P -0.427 -1.828 4.590
P -1.771 -2.069 0.755
```

***

# 3
An optimized crystal structure of Cd2SiCl, computed with GGA-PBE.

Output
ΔE to the lowest computed polymorph   0.78 eV/f.u.

```
4
Lattice="-2.821 -0.285 -1.314 0.588 -1.219 2.816 -3.022 9.013 4.532" Properties=species:S:1:pos:R:3 pbc="T T T"
Cd -2.961 8.830 4.441
Cd -1.855 1.452 1.859
Cl -1.658 4.944 2.486
Si -3.314 5.802 4.047
```

***

What did the second record say?
An optimized crystal structure of Ce3Y2TmP6, computed with GGA-PBE.

Output
Calculated formation energy   -1.561 eV per atom

```
12
Lattice="-4.936 -4.435 -2.239 6.740 -1.898 -0.144 -1.161 -0.336 6.877" Properties=species:S:1:pos:R:3 pbc="T T T"
Ce 4.207 -2.490 2.944
Ce -3.565 -4.179 1.550
Ce 0.321 -3.334 2.247
Y 2.845 -2.744 -0.843
Y -1.042 -3.589 -1.540
Tm 0.000 0.000 0.000
P -1.450 -5.440 3.046
P 1.069 -4.841 -0.096
P 2.092 -1.229 1.448
P 2.413 -4.600 3.739
P -0.427 -1.828 4.590
P -1.771 -2.069 0.755
```